DFT (PBE-GGA) results for an optimized crystal structure of HfBeSiB2.

Cell lengths 3.673, 3.673, 4.658 Å; angles 90.00, 90.00, 90.00 degrees
Atoms (fractional coordinates):
Hf1 0.000 0.000 0.000
Be1 0.000 0.000 0.500
Si1 0.500 0.500 0.000
B1 0.000 0.500 0.500
B2 0.500 0.000 0.500

Total moment: 0.00 μB/f.u.
Formation energy from raw total energies: 0.78 eV/atom